No. 1
DFT (GGA-PBE) results for a relaxed structure of RbAg2Sn2.

Structure (POSCAR):
```
RbAg2Sn2
1.0
9.135 0.000 0.000
0.000 9.135 0.000
0.000 0.000 3.141
Ag Sn Rb
4 4 2
direct
0.356 0.856 0.000
0.144 0.356 0.000
0.644 0.144 0.000
0.856 0.644 0.000
0.143 0.643 0.500
0.857 0.357 0.500
0.643 0.857 0.500
0.357 0.143 0.500
0.000 0.000 0.000
0.500 0.500 0.000
```

Summary:
**M_tot**: 0.0 μB/cell
**Offset from the most stable computed form**: 92 meV per atom
**Volume**: 26.211 A^3/atom
**Energy of formation**: 0.00 eV per atom

No. 2
DFT (GGA-PBE) results for a relaxed structure of LaTbNdAg.

Structure (POSCAR):
```
LaTbNdAg
1.0
-0.083 -0.453 5.521
1.641 -4.707 2.418
4.755 -0.144 2.839
Nd La Ag Tb
1 1 1 1
direct
0.000 0.000 0.000
0.500 0.500 0.500
0.250 0.250 0.250
0.750 0.750 0.750
```

Summary:
**M_tot**: 0.0 μB/cell
**Offset from the most stable computed form**: 177 meV per atom
**Volume**: 30.060 A^3/atom
**Energy of formation**: 0.06 eV per atom

No. 3
DFT (GGA-PBE) results for a relaxed structure of CrSn3Pb.

Structure (POSCAR):
```
CrSn3Pb
1.0
5.753 0.000 0.000
0.000 5.753 0.000
0.000 0.000 5.753
Sn Cr Pb
3 1 1
direct
0.500 0.000 0.000
0.000 0.000 0.500
0.000 0.500 0.000
0.500 0.500 0.500
0.000 0.000 0.000
```

Summary:
**M_tot**: 4.7 μB/cell
**Offset from the most stable computed form**: 872 meV per atom
**Volume**: 38.083 A^3/atom
**Energy of formation**: 1.16 eV per atom